Entry 1:
Material: MgP3Pt
Method: DFT, GGA-PBE
State: optimized geometry

Spin magnetization: 0.000 μB/f.u.
Space group: Pm-3m
Density of states at the Fermi level: 6.19 states/eV per cell
Offset from the most stable computed form: 0.000 eV/atom
Formation energy from the elements: 0.60 eV/atom

Cell and atoms, written as POSCAR:
```
MgP3Pt
1.0
-1.010 3.959 -2.432
2.006 -1.873 -3.882
-4.191 -1.851 -1.272
P Mg Pt
3 1 1
Cartesian
1.003 -0.936 -1.941 P
-0.505 1.979 -1.216 P
-2.095 -0.925 -0.636 P
-1.597 0.117 -3.793 Mg
0.000 0.000 0.000 Pt
```

=====

Entry 2:
Material: Dy5BeTe4
Method: DFT, GGA-PBE
State: optimized geometry

Spin magnetization: 0.000 μB/f.u.
Space group: I4
Density of states at the Fermi level: 3.20 states/eV per cell
Formation energy from raw total energies: -101 kJ per mole of atoms

Cell and atoms, written as POSCAR:
```
Dy5BeTe4
1.0
-4.191 -3.154 3.066
2.534 -3.098 6.296
-3.800 4.045 4.985
Dy Be Te
5 1 4
Cartesian
-2.095 -1.577 1.533 Dy
0.560 -1.577 5.175 Dy
-6.026 -0.636 9.179 Dy
-4.010 -1.387 5.143 Dy
-1.456 -0.826 9.211 Dy
-0.010 -0.007 0.007 Be
-3.692 0.630 7.651 Te
-3.705 -2.526 10.405 Te
-1.760 0.314 3.948 Te
-1.773 -2.843 6.702 Te
```

=====

Please write out number 1 again, unchanged.
Material: MgP3Pt
Method: DFT, GGA-PBE
State: optimized geometry

Spin magnetization: 0.000 μB/f.u.
Space group: Pm-3m
Density of states at the Fermi level: 6.19 states/eV per cell
Offset from the most stable computed form: 0.000 eV/atom
Formation energy from the elements: 0.60 eV/atom

Cell and atoms, written as POSCAR:
```
MgP3Pt
1.0
-1.010 3.959 -2.432
2.006 -1.873 -3.882
-4.191 -1.851 -1.272
P Mg Pt
3 1 1
Cartesian
1.003 -0.936 -1.941 P
-0.505 1.979 -1.216 P
-2.095 -0.925 -0.636 P
-1.597 0.117 -3.793 Mg
0.000 0.000 0.000 Pt
```

=====

Which of these has the lowest density of states at the Fermi level? Dy5BeTe4

=====

The lowest density of states at the Fermi level belongs to which entry? Dy5BeTe4